Record 1
Entry from Alexandria: an optimized crystal structure of AlZnBiP2 (PBE).

Cell and atoms, written as CIF:
```
data_AlZnBiP2
_symmetry_space_group_name_H-M 'P 1'
_symmetry_Int_Tables_number 1
_cell_length_a 5.281
_cell_length_b 5.281
_cell_length_c 5.698
_cell_angle_alpha 90.00
_cell_angle_beta 90.00
_cell_angle_gamma 90.00
loop_
_symmetry_equiv_pos_as_xyz
'x,y,z'
loop_
_atom_site_label
_atom_site_type_symbol
_atom_site_fract_x
_atom_site_fract_y
_atom_site_fract_z
Al1 Al 0.000 0.000 0.000
Zn1 Zn 0.500 0.500 0.000
Bi1 Bi 0.000 0.000 0.500
P1 P 0.000 0.500 0.500
P2 P 0.500 0.000 0.500
```

Values from the calculation:
The energy is -13.5 eV for the cell shown. The space group is No. 123. The value obtained for the formation energy from the elements is 1.237 eV/atom.

---

Record 2
Entry from Alexandria: an optimized crystal structure of PaAlBi (PBE).

Cell and atoms, written as CIF:
```
data_PaAlBi
_symmetry_space_group_name_H-M 'P 1'
_symmetry_Int_Tables_number 1
_cell_length_a 9.569
_cell_length_b 9.569
_cell_length_c 9.569
_cell_angle_alpha 27.73
_cell_angle_beta 27.73
_cell_angle_gamma 27.73
loop_
_symmetry_equiv_pos_as_xyz
'x,y,z'
loop_
_atom_site_label
_atom_site_type_symbol
_atom_site_fract_x
_atom_site_fract_y
_atom_site_fract_z
Pa1 Pa 0.063 0.063 0.063
Pa2 Pa 0.937 0.937 0.937
Al1 Al 0.336 0.336 0.336
Al2 Al 0.664 0.664 0.664
Bi1 Bi 0.210 0.210 0.210
Bi2 Bi 0.790 0.790 0.790
```

Values from the calculation:
The energy is -34.1 eV for the cell shown. The space group is No. 166. The value obtained for the formation energy from the elements is 0.027 eV/atom.

---

Record 3
Entry from Alexandria: an optimized crystal structure of PaAl2Bi (PBE).

Cell and atoms, written as CIF:
```
data_PaAl2Bi
_symmetry_space_group_name_H-M 'P 1'
_symmetry_Int_Tables_number 1
_cell_length_a 4.488
_cell_length_b 4.488
_cell_length_c 4.524
_cell_angle_alpha 90.00
_cell_angle_beta 90.00
_cell_angle_gamma 90.00
loop_
_symmetry_equiv_pos_as_xyz
'x,y,z'
loop_
_atom_site_label
_atom_site_type_symbol
_atom_site_fract_x
_atom_site_fract_y
_atom_site_fract_z
Pa1 Pa 0.000 0.000 0.000
Al1 Al 0.000 0.500 0.500
Al2 Al 0.500 0.000 0.500
Bi1 Bi 0.500 0.500 0.000
```

Values from the calculation:
The energy is -21.4 eV for the cell shown. The space group is No. 123. The value obtained for the formation energy from the elements is -0.138 eV/atom.

---

Record 4
Entry from Alexandria: an optimized crystal structure of PaAlBi (PBE).

Cell and atoms, written as CIF:
```
data_PaAlBi
_symmetry_space_group_name_H-M 'P 1'
_symmetry_Int_Tables_number 1
_cell_length_a 5.205
_cell_length_b 5.205
_cell_length_c 3.152
_cell_angle_alpha 90.00
_cell_angle_beta 90.00
_cell_angle_gamma 120.00
loop_
_symmetry_equiv_pos_as_xyz
'x,y,z'
loop_
_atom_site_label
_atom_site_type_symbol
_atom_site_fract_x
_atom_site_fract_y
_atom_site_fract_z
Pa1 Pa 0.000 0.000 0.000
Al1 Al 0.333 0.667 0.500
Bi1 Bi 0.667 0.333 0.500
```

Values from the calculation:
The energy is -16.8 eV for the cell shown. The space group is No. 187. The value obtained for the formation energy from the elements is 0.092 eV/atom.